# 1
Density functional theory data (PBE) for a relaxed structure of Ba2GaCu2.

Geometry as POSCAR:
```
Ba2GaCu2
1.0
2.1725 1.2543 9.7195
-2.1725 1.2543 9.7195
0.0000 -2.5086 9.7195
Ba Ga Cu
2 1 2
Cartesian
0.0000 0.0000 2.1281
0.0000 0.0000 27.0304
0.0000 0.0000 14.5793
0.0000 0.0000 5.2677
0.0000 0.0000 23.8908
```

Calculated values
Fermi-level density of states, states/eV/cell: 3.673
Energy of formation, eV/atom: -0.164



# 2
Density functional theory data (PBE) for a relaxed structure of TaCuNi2.

Geometry as POSCAR:
```
TaCuNi2
1.0
2.6770 -3.5724 0.0000
2.6770 3.5724 0.0000
0.0000 0.0000 2.7280
Ta Cu Ni
1 1 2
Cartesian
0.0000 0.0000 0.0000
2.6770 0.0000 0.0000
1.3385 1.7862 1.3640
1.3385 -1.7862 1.3640
```

Calculated values
Fermi-level density of states, states/eV/cell: 2.957
Energy of formation, eV/atom: -0.033



# 3
Density functional theory data (PBE) for a relaxed structure of SmThCCl.

Geometry as POSCAR:
```
SmThCCl
1.0
3.1829 -1.8451 0.0000
3.1829 1.8451 0.0000
-2.1178 0.0000 7.3590
Sm Th C Cl
1 1 1 1
Cartesian
0.0000 0.0000 0.0000
4.2454 0.0000 2.7943
2.1228 0.0000 1.4202
0.0044 0.0000 5.1836
```

Calculated values
DFT total energy, eV per cell: -27.20
Fermi-level density of states, states/eV/cell: 0.973



# 4
Density functional theory data (PBE) for a relaxed structure of Pm5H12Ru2.

Geometry as POSCAR:
```
Pm5H12Ru2
1.0
5.6818 -2.9141 0.0000
5.6818 2.9141 0.0000
-1.8759 0.0000 7.1393
Pm H Ru
5 12 2
Cartesian
0.0000 0.0000 0.0000
2.1688 0.0000 4.7006
3.5645 0.0000 1.0433
5.9231 0.0000 6.0960
7.3188 0.0000 2.4388
-0.5063 0.0000 2.4874
2.0480 1.5163 6.4562
3.1168 1.3195 2.9757
7.4396 1.5163 0.6831
6.3708 1.3195 4.1636
4.3864 0.0000 4.5012
5.1013 0.0000 2.6381
3.1168 -1.3195 2.9757
2.0480 -1.5163 6.4562
6.3708 -1.3195 4.1636
7.4396 -1.5163 0.6831
9.9939 0.0000 4.6519
4.7438 1.5120 3.5697
4.7438 -1.5120 3.5697
```

Calculated values
DFT total energy, eV per cell: -90.63
Fermi-level density of states, states/eV/cell: 6.856